ZnOs2Au: optimized geometry, PBE. Values from VASP.

Calculated values
**Energy of formation from the pure elements**: 0.635 eV per atom
**Size of the total moment**: 0.0 μB per cell
**Volume**: 60.71 Å³/cell

```
&SYSTEM
  ibrav = 0, nat = 4, ntyp = 3
/
ATOMIC_SPECIES
Zn 65.41 Zn.upf
Os 190.23 Os.upf
Au 196.97 Au.upf
CELL_PARAMETERS angstrom
-1.9148 1.9148 4.1394
1.9148 -1.9148 4.1394
1.9148 1.9148 -4.1394
ATOMIC_POSITIONS crystal
Zn 0.0000 0.0000 0.0000
Os 0.2500 0.7500 0.5000
Os 0.7500 0.2500 0.5000
Au 0.5000 0.5000 0.0000
```



ZnOsAu2: optimized geometry, PBE. Values from VASP.

Calculated values
**Energy of formation from the pure elements**: 0.364 eV per atom
**Size of the total moment**: 0.0 μB per cell
**Volume**: 65.31 Å³/cell

```
&SYSTEM
  ibrav = 0, nat = 4, ntyp = 3
/
ATOMIC_SPECIES
Zn 65.41 Zn.upf
Os 190.23 Os.upf
Au 196.97 Au.upf
CELL_PARAMETERS angstrom
1.4059 -2.4279 0.0000
1.4059 2.4279 0.0000
0.0000 0.0000 9.5663
ATOMIC_POSITIONS crystal
Zn 0.0000 0.0000 0.0000
Os 0.0000 0.0000 0.5000
Au 0.5000 0.5000 0.2411
Au 0.5000 0.5000 0.7589
```



ZnOsAu2: optimized geometry, PBE. Values from VASP.

Calculated values
**Energy of formation from the pure elements**: 0.273 eV per atom
**Size of the total moment**: 0.0 μB per cell
**Volume**: 65.03 Å³/cell

```
&SYSTEM
  ibrav = 0, nat = 4, ntyp = 3
/
ATOMIC_SPECIES
Zn 65.41 Zn.upf
Os 190.23 Os.upf
Au 196.97 Au.upf
CELL_PARAMETERS angstrom
1.4453 -2.3772 0.0000
1.4453 2.3772 0.0000
0.0000 0.0000 9.4641
ATOMIC_POSITIONS crystal
Zn 0.0000 0.0000 0.0000
Os 0.5000 0.5000 0.7742
Au 0.0000 0.0000 0.5142
Au 0.5000 0.5000 0.2410
```



ZnOs2Au: optimized geometry, PBE. Values from VASP.

Calculated values
**Energy of formation from the pure elements**: 0.347 eV per atom
**Size of the total moment**: 0.0 μB per cell
**Volume**: 60.99 Å³/cell

```
&SYSTEM
  ibrav = 0, nat = 4, ntyp = 3
/
ATOMIC_SPECIES
Zn 65.41 Zn.upf
Os 190.23 Os.upf
Au 196.97 Au.upf
CELL_PARAMETERS angstrom
4.4941 -1.4066 0.0000
4.4941 1.4066 0.0000
-0.7125 0.0000 4.8237
ATOMIC_POSITIONS crystal
Zn 0.0000 0.0000 0.0000
Os 0.2477 0.2477 0.6986
Os 0.5060 0.5060 0.5265
Au 0.7524 0.7524 0.2041
```



Zr2OsAu: optimized geometry, PBE. Values from VASP.

Calculated values
**Energy of formation from the pure elements**: -0.169 eV per atom
**Size of the total moment**: 0.0 μB per cell
**Volume**: 83.33 Å³/cell

```
&SYSTEM
  ibrav = 0, nat = 4, ntyp = 3
/
ATOMIC_SPECIES
Zr 91.22 Zr.upf
Os 190.23 Os.upf
Au 196.97 Au.upf
CELL_PARAMETERS angstrom
3.7037 -1.6140 0.0000
3.7037 1.6140 0.0000
-1.1251 0.0000 6.9701
ATOMIC_POSITIONS crystal
Zr 0.2485 0.2485 0.2797
Zr 0.7515 0.7515 0.7203
Os 0.0000 0.0000 0.5000
Au 0.5000 0.5000 0.0000
```



ZrOsAu2: optimized geometry, PBE. Values from VASP.

Calculated values
**Relative energy among the computed polymorphs**: 109 kJ/mol of formula units
**Energy of formation from the pure elements**: 0.096 eV per atom
**Size of the total moment**: 0.0 μB per cell
**Volume**: 72.20 Å³/cell

```
&SYSTEM
  ibrav = 0, nat = 4, ntyp = 3
/
ATOMIC_SPECIES
Zr 91.22 Zr.upf
Os 190.23 Os.upf
Au 196.97 Au.upf
CELL_PARAMETERS angstrom
3.5985 0.0000 0.0000
0.0000 3.5985 0.0000
0.0000 0.0000 5.5756
ATOMIC_POSITIONS crystal
Zr 0.0000 0.0000 0.0000
Os 0.0000 0.0000 0.5000
Au 0.5000 0.5000 0.2534
Au 0.5000 0.5000 0.7466
```



Zr2OsAu: optimized geometry, PBE. Values from VASP.

Calculated values
**Energy of formation from the pure elements**: 0.027 eV per atom
**Size of the total moment**: 0.0 μB per cell
**Volume**: 162.44 Å³/cell

```
&SYSTEM
  ibrav = 0, nat = 8, ntyp = 3
/
ATOMIC_SPECIES
Zr 91.22 Zr.upf
Os 190.23 Os.upf
Au 196.97 Au.upf
CELL_PARAMETERS angstrom
-3.7488 3.7488 2.8897
3.7488 -3.7488 2.8897
3.7488 3.7488 -2.8897
ATOMIC_POSITIONS crystal
Zr 0.1005 0.6250 0.9755
Zr 0.3750 0.3505 0.4755
Zr 0.6495 0.1250 0.0245
Zr 0.8750 0.8995 0.5245
Os 0.0000 0.0000 0.0000
Os 0.7500 0.2500 0.5000
Au 0.2500 0.7500 0.5000
Au 0.5000 0.5000 0.0000
```



ZrOs2Au2: optimized geometry, PBE. Values from VASP.

Calculated values
**Relative energy among the computed polymorphs**: 51 kJ/mol of formula units
**Energy of formation from the pure elements**: 0.468 eV per atom
**Size of the total moment**: 0.0 μB per cell
**Volume**: 177.10 Å³/cell

```
&SYSTEM
  ibrav = 0, nat = 10, ntyp = 3
/
ATOMIC_SPECIES
Zr 91.22 Zr.upf
Os 190.23 Os.upf
Au 196.97 Au.upf
CELL_PARAMETERS angstrom
7.7649 0.0000 0.0000
0.0000 7.7649 0.0000
0.0000 0.0000 2.9373
ATOMIC_POSITIONS crystal
Zr 0.0000 0.0000 0.0000
Zr 0.5000 0.5000 0.0000
Os 0.1192 0.3808 0.5000
Os 0.3808 0.8808 0.5000
Os 0.6192 0.1192 0.5000
Os 0.8808 0.6192 0.5000
Au 0.1748 0.6748 0.0000
Au 0.3252 0.1748 0.0000
Au 0.6748 0.8252 0.0000
Au 0.8252 0.3252 0.0000
```



ZrOsAu2: optimized geometry, PBE. Values from VASP.

Calculated values
**Relative energy among the computed polymorphs**: 83 kJ/mol of formula units
**Energy of formation from the pure elements**: 0.030 eV per atom
**Size of the total moment**: 0.0 μB per cell
**Volume**: 70.47 Å³/cell

```
&SYSTEM
  ibrav = 0, nat = 4, ntyp = 3
/
ATOMIC_SPECIES
Zr 91.22 Zr.upf
Os 190.23 Os.upf
Au 196.97 Au.upf
CELL_PARAMETERS angstrom
2.9656 0.0000 0.0000
0.0000 4.2431 0.0000
0.0000 0.0000 5.6002
ATOMIC_POSITIONS crystal
Zr 0.0000 0.0000 0.0000
Os 0.0000 0.0000 0.5000
Au 0.5000 0.5000 0.2576
Au 0.5000 0.5000 0.7424
```



ZrOs2Au: optimized geometry, PBE. Values from VASP.

Calculated values
**Relative energy among the computed polymorphs**: 109 kJ/mol of formula units
**Energy of formation from the pure elements**: 0.227 eV per atom
**Size of the total moment**: 0.0 μB per cell
**Volume**: 67.61 Å³/cell

```
&SYSTEM
  ibrav = 0, nat = 4, ntyp = 3
/
ATOMIC_SPECIES
Zr 91.22 Zr.upf
Os 190.23 Os.upf
Au 196.97 Au.upf
CELL_PARAMETERS angstrom
1.4255 0.8230 9.6056
-1.4255 0.8230 9.6056
0.0000 -1.6460 9.6056
ATOMIC_POSITIONS crystal
Zr 0.0000 0.0000 0.0000
Os 0.2450 0.2450 0.2450
Os 0.5072 0.5072 0.5072
Au 0.7556 0.7556 0.7556
```



Zr2OsAu: optimized geometry, PBE. Values from VASP.

Calculated values
**Energy of formation from the pure elements**: -0.430 eV per atom
**Size of the total moment**: 0.0 μB per cell
**Volume**: 77.46 Å³/cell

```
&SYSTEM
  ibrav = 0, nat = 4, ntyp = 3
/
ATOMIC_SPECIES
Zr 91.22 Zr.upf
Os 190.23 Os.upf
Au 196.97 Au.upf
CELL_PARAMETERS angstrom
3.3048 0.0000 0.0000
0.0000 4.5421 0.0000
-1.1592 0.0000 5.1605
ATOMIC_POSITIONS crystal
Zr 0.0000 0.0000 0.0000
Zr 0.2155 0.5000 0.5757
Os 0.6828 0.0000 0.4813
Au 0.5402 0.5000 0.1149
```



ZrOs2Au: optimized geometry, PBE. Values from VASP.

Calculated values
**Relative energy among the computed polymorphs**: 162 kJ/mol of formula units
**Energy of formation from the pure elements**: 0.363 eV per atom
**Size of the total moment**: 0.0 μB per cell
**Volume**: 67.78 Å³/cell

```
&SYSTEM
  ibrav = 0, nat = 4, ntyp = 3
/
ATOMIC_SPECIES
Zr 91.22 Zr.upf
Os 190.23 Os.upf
Au 196.97 Au.upf
CELL_PARAMETERS angstrom
1.6022 -2.3178 0.0000
1.6022 2.3178 0.0000
0.0000 0.0000 9.1258
ATOMIC_POSITIONS crystal
Zr 0.0000 0.0000 0.0000
Os 0.5000 0.5000 0.2403
Os 0.5000 0.5000 0.7597
Au 0.0000 0.0000 0.5000
```



ZrOs2Au: optimized geometry, PBE. Values from VASP.

Calculated values
**Relative energy among the computed polymorphs**: 0 kJ/mol of formula units
**Energy of formation from the pure elements**: -0.056 eV per atom
**Size of the total moment**: 0.0 μB per cell
**Volume**: 65.78 Å³/cell

```
&SYSTEM
  ibrav = 0, nat = 4, ntyp = 3
/
ATOMIC_SPECIES
Zr 91.22 Zr.upf
Os 190.23 Os.upf
Au 196.97 Au.upf
CELL_PARAMETERS angstrom
4.0573 0.0000 0.0000
0.0000 4.0573 0.0000
0.0000 0.0000 3.9963
ATOMIC_POSITIONS crystal
Zr 0.0000 0.0000 0.0000
Os 0.0000 0.5000 0.5000
Os 0.5000 0.0000 0.5000
Au 0.5000 0.5000 0.0000
```



ZrOsAu2: optimized geometry, PBE. Values from VASP.

Calculated values
**Relative energy among the computed polymorphs**: 15 kJ/mol of formula units
**Energy of formation from the pure elements**: -0.145 eV per atom
**Size of the total moment**: 0.0 μB per cell
**Volume**: 72.03 Å³/cell

```
&SYSTEM
  ibrav = 0, nat = 4, ntyp = 3
/
ATOMIC_SPECIES
Zr 91.22 Zr.upf
Os 190.23 Os.upf
Au 196.97 Au.upf
CELL_PARAMETERS angstrom
3.4837 0.0000 0.0000
0.0000 3.4837 0.0000
0.0000 0.0000 5.9353
ATOMIC_POSITIONS crystal
Zr 0.0000 0.0000 0.0000
Os 0.5000 0.5000 0.7780
Au 0.0000 0.0000 0.5146
Au 0.5000 0.5000 0.2773
```



ZrOs2Au: optimized geometry, PBE. Values from VASP.

Calculated values
**Relative energy among the computed polymorphs**: 179 kJ/mol of formula units
**Energy of formation from the pure elements**: 0.407 eV per atom
**Size of the total moment**: 0.0 μB per cell
**Volume**: 67.17 Å³/cell

```
&SYSTEM
  ibrav = 0, nat = 4, ntyp = 3
/
ATOMIC_SPECIES
Zr 91.22 Zr.upf
Os 190.23 Os.upf
Au 196.97 Au.upf
CELL_PARAMETERS angstrom
1.4163 0.8177 9.6665
-1.4163 0.8177 9.6665
0.0000 -1.6354 9.6665
ATOMIC_POSITIONS crystal
Zr 0.0000 0.0000 0.0000
Os 0.2493 0.2493 0.2493
Os 0.7507 0.7507 0.7507
Au 0.5000 0.5000 0.5000
```



Zr5OsAu: optimized geometry, PBE. Values from VASP.

Calculated values
**Energy of formation from the pure elements**: -0.132 eV per atom
**Size of the total moment**: 0.0 μB per cell
**Volume**: 301.41 Å³/cell

```
&SYSTEM
  ibrav = 0, nat = 14, ntyp = 3
/
ATOMIC_SPECIES
Zr 91.22 Zr.upf
Os 190.23 Os.upf
Au 196.97 Au.upf
CELL_PARAMETERS angstrom
4.0614 -3.5718 0.0000
4.0614 3.5718 0.0000
-2.7730 0.0000 10.3889
ATOMIC_POSITIONS crystal
Zr 0.0231 0.9769 0.7500
Zr 0.0651 0.4662 0.1331
Zr 0.2219 0.5237 0.4484
Zr 0.4662 0.0651 0.6331
Zr 0.4763 0.7781 0.0516
Zr 0.5237 0.2219 0.9484
Zr 0.5338 0.9349 0.3669
Zr 0.7781 0.4763 0.5516
Zr 0.9349 0.5338 0.8669
Zr 0.9769 0.0231 0.2500
Os 0.0000 0.0000 0.0000
Os 0.0000 0.0000 0.5000
Au 0.4174 0.5826 0.7500
Au 0.5826 0.4174 0.2500
```



ZrOsAu2: optimized geometry, PBE. Values from VASP.

Calculated values
**Relative energy among the computed polymorphs**: 0 kJ/mol of formula units
**Energy of formation from the pure elements**: -0.185 eV per atom
**Size of the total moment**: 0.0 μB per cell
**Volume**: 69.73 Å³/cell

```
&SYSTEM
  ibrav = 0, nat = 4, ntyp = 3
/
ATOMIC_SPECIES
Zr 91.22 Zr.upf
Os 190.23 Os.upf
Au 196.97 Au.upf
CELL_PARAMETERS angstrom
4.0105 0.0000 0.0000
0.0000 4.0105 0.0000
0.0000 0.0000 4.3350
ATOMIC_POSITIONS crystal
Zr 0.0000 0.0000 0.0000
Os 0.5000 0.5000 0.0000
Au 0.0000 0.5000 0.5000
Au 0.5000 0.0000 0.5000
```



Zr2OsAu: optimized geometry, PBE. Values from VASP.

Calculated values
**Energy of formation from the pure elements**: 0.157 eV per atom
**Size of the total moment**: 0.0 μB per cell
**Volume**: 79.80 Å³/cell

```
&SYSTEM
  ibrav = 0, nat = 4, ntyp = 3
/
ATOMIC_SPECIES
Zr 91.22 Zr.upf
Os 190.23 Os.upf
Au 196.97 Au.upf
CELL_PARAMETERS angstrom
1.5814 0.9130 9.2117
-1.5814 0.9130 9.2117
0.0000 -1.8260 9.2117
ATOMIC_POSITIONS crystal
Zr 0.0000 0.0000 0.0000
Zr 0.2356 0.2356 0.2356
Os 0.7371 0.7371 0.7371
Au 0.4862 0.4862 0.4862
```



ZrOs2Au: optimized geometry, PBE. Values from VASP.

Calculated values
**Relative energy among the computed polymorphs**: 73 kJ/mol of formula units
**Energy of formation from the pure elements**: 0.134 eV per atom
**Size of the total moment**: 0.0 μB per cell
**Volume**: 67.44 Å³/cell

```
&SYSTEM
  ibrav = 0, nat = 4, ntyp = 3
/
ATOMIC_SPECIES
Zr 91.22 Zr.upf
Os 190.23 Os.upf
Au 196.97 Au.upf
CELL_PARAMETERS angstrom
4.6727 -1.4896 0.0000
4.6727 1.4896 0.0000
-1.0337 0.0000 4.8443
ATOMIC_POSITIONS crystal
Zr 0.0000 0.0000 0.0000
Os 0.2520 0.2520 0.7306
Os 0.7480 0.7480 0.2694
Au 0.5000 0.5000 0.5000
```



ZrOs2Au: optimized geometry, PBE. Values from VASP.

Calculated values
**Relative energy among the computed polymorphs**: 6 kJ/mol of formula units
**Energy of formation from the pure elements**: -0.042 eV per atom
**Size of the total moment**: 0.0 μB per cell
**Volume**: 67.47 Å³/cell

```
&SYSTEM
  ibrav = 0, nat = 4, ntyp = 3
/
ATOMIC_SPECIES
Zr 91.22 Zr.upf
Os 190.23 Os.upf
Au 196.97 Au.upf
CELL_PARAMETERS angstrom
2.9275 0.0000 0.0000
0.0000 3.9385 0.0000
0.0000 0.0000 5.8517
ATOMIC_POSITIONS crystal
Zr 0.0000 0.0000 0.0000
Os 0.0000 0.0000 0.5449
Os 0.5000 0.5000 0.7307
Au 0.5000 0.5000 0.2663
```